1.
Compound: Ac2Dy3Y7
Source: Alexandria via LeMat-Bulk
Functional: PBE
Structure: relaxed

Values from the calculation:
Space group: P2/m (10)
Energy in eV/cell: -66.02
Total moment in μB per formula unit: 0.3
Energy relative to the elements in eV per atom: 0.104

Lattice parameters (Å, degrees): 3.609 6.472 17.623 89.82 90.00 90.00
Site moments in Bohr magnetons follow the coordinates.
Element x y z (fractional)
Ac  0.500  0.506  0.325  0.01
Ac  0.500  0.494  0.675  0.01
Dy  0.500  0.500  0.000  0.01
Dy  0.000  0.999  0.341  0.01
Dy  0.000  0.001  0.659  0.01
Y  0.500  0.239  0.499  0.06
Y  0.500  0.761  0.501  0.06
Y  0.000  0.678  0.160  0.01
Y  0.000  0.000  0.000  0.00
Y  0.000  0.322  0.840  0.01
Y  0.500  0.830  0.837  0.01
Y  0.500  0.170  0.163  0.01

2.
Compound: Pr3RuPb
Source: Alexandria via LeMat-Bulk
Functional: PBE
Structure: relaxed

Values from the calculation:
Space group: Pm-3m (221)
Energy in eV/cell: -28.38
Total moment in μB per formula unit: 0.0
Energy relative to the elements in eV per atom: -0.211

Lattice parameters (Å, degrees): 5.476 5.476 5.476 90.00 90.00 90.00
Element x y z (fractional)
Pb  0.500  0.500  0.500
Pr  0.000  0.500  0.000
Pr  0.000  0.000  0.500
Pr  0.500  0.000  0.000
Ru  0.000  0.000  0.000

Q: energy relative to the elements of number 2 (Pr3RuPb)?
A: -0.211 eV per atom